[1]
VASP calculation (GGA-PBE) on a geometry-optimized ErPa2Pt9 structure.

Summary:
total magnetization	0.0895	μB per atom
space-group type	P4/mmm (123)
VASP energy	-7.52	eV per atom

abc: 4.1601 4.1601 12.4152
angles: 90.00 90.00 90.00
Fractional coordinates of all 12 atoms:
Er 0.0000 0.0000 0.0000
Pa 0.0000 0.0000 0.3301
Pa 0.0000 0.0000 0.6699
Pt 0.0000 0.5000 0.1665
Pt 0.0000 0.5000 0.5000
Pt 0.0000 0.5000 0.8335
Pt 0.5000 0.0000 0.1665
Pt 0.5000 0.0000 0.5000
Pt 0.5000 0.0000 0.8335
Pt 0.5000 0.5000 0.0000
Pt 0.5000 0.5000 0.3319
Pt 0.5000 0.5000 0.6681

---

[2]
VASP calculation (GGA-PBE) on a geometry-optimized ErPa2Pt structure.

Summary:
total magnetization	0.0005	μB per atom
space-group type	R-3m (166)
VASP energy	-7.57	eV per atom

abc: 9.8440 9.8440 9.8440
angles: 20.60 20.60 20.60
Fractional coordinates of all 4 atoms:
Er 0.0000 0.0000 0.0000
Pa 0.2372 0.2372 0.2372
Pa 0.7628 0.7628 0.7628
Pt 0.5000 0.5000 0.5000

---

[3]
VASP calculation (GGA-PBE) on a geometry-optimized ErPaPt2 structure.

Summary:
relative energy among the computed polymorphs	72.6	meV/atom
total magnetization	0.1420	μB per atom
space-group type	Fm-3m (225)
VASP energy	-7.50	eV per atom

abc: 4.9477 4.9477 4.9477
angles: 60.00 60.00 60.00
Fractional coordinates of all 4 atoms:
Er 0.0000 0.0000 0.0000
Pa 0.5000 0.5000 0.5000
Pt 0.2500 0.2500 0.2500
Pt 0.7500 0.7500 0.7500

---

[4]
VASP calculation (GGA-PBE) on a geometry-optimized ErPaRePt structure.

Summary:
total magnetization	0.0000	μB per atom
space-group type	F-43m (216)
VASP energy	-8.57	eV per atom

abc: 4.8966 4.8966 4.8966
angles: 60.00 60.00 60.00
Fractional coordinates of all 4 atoms:
Er 0.0000 0.0000 0.0000
Pa 0.5000 0.5000 0.5000
Re 0.7500 0.7500 0.7500
Pt 0.2500 0.2500 0.2500

---

[5]
VASP calculation (GGA-PBE) on a geometry-optimized ErPaRuPt structure.

Summary:
total magnetization	0.0001	μB per atom
space-group type	F-43m (216)
VASP energy	-8.01	eV per atom

abc: 4.8824 4.8824 4.8824
angles: 60.00 60.00 60.00
Fractional coordinates of all 4 atoms:
Er 0.0000 0.0000 0.0000
Pa 0.5000 0.5000 0.5000
Ru 0.7500 0.7500 0.7500
Pt 0.2500 0.2500 0.2500

---

[6]
VASP calculation (GGA-PBE) on a geometry-optimized ErPa2Si3Pt4 structure.

Summary:
total magnetization	0.0017	μB per atom
space-group type	P-4m2 (115)
VASP energy	-7.29	eV per atom
E_form (uncorrected)	-85.9	kJ per mole of atoms

abc: 4.1819 4.1819 10.8481
angles: 90.00 90.00 90.00
Fractional coordinates of all 10 atoms:
Er 0.0000 0.0000 0.0000
Pa 0.0000 0.5000 0.7301
Pa 0.5000 0.0000 0.2699
Si 0.0000 0.5000 0.3786
Si 0.5000 0.0000 0.6214
Si 0.5000 0.5000 0.0000
Pt 0.0000 0.0000 0.5000
Pt 0.0000 0.5000 0.1621
Pt 0.5000 0.0000 0.8379
Pt 0.5000 0.5000 0.5000